(1)
VASP calculation (PBE) on a relaxed structure of K2CdCuI5.

Lattice parameters (Å, degrees): 4.5323 10.5906 14.8829 90.00 90.00 102.36
Atoms (fractional coordinates):
K: 0.8761 0.7521 0.8295
K: 0.1198 0.2396 0.7017
K: 0.1239 0.2479 0.3295
K: 0.8802 0.7604 0.2017
Cd: 0.7934 0.5869 0.5266
Cd: 0.2066 0.4131 0.0266
Cu: 0.5649 0.1297 0.9197
Cu: 0.4351 0.8703 0.4197
I: 0.3480 0.6959 0.0157
I: 0.6974 0.3947 0.8792
I: 0.4999 0.9998 0.7728
I: 0.2943 0.5887 0.6651
I: 0.9376 0.8752 0.5137
I: 0.6521 0.3041 0.5157
I: 0.3026 0.6052 0.3792
I: 0.5001 0.0002 0.2728
I: 0.7057 0.4113 0.1651
I: 0.0624 0.1248 0.0137

Summary:
The raw formation energy comes out at -7.80 eV/f.u. Its volume is 38.8 A^3/atom.

(2)
VASP calculation (PBE) on a relaxed structure of YTaFeGe2.

Lattice parameters (Å, degrees): 4.9371 5.3242 4.9371 90.00 90.00 90.00
Each line ends with the local moment (μB).
Atoms (fractional coordinates):
Y: 0.0000 0.5000 0.0000  -0.04
Ge: 0.0000 0.0000 0.5000  0.01
Ge: 0.5000 0.0000 0.0000  0.01
Fe: 0.5000 0.5000 0.5000  3.24
Ta: 0.0000 0.0000 0.0000  0.18

Summary:
The uncorrected energy is -6.254 eV/atom. Its volume is 26.0 A^3/atom.

(3)
VASP calculation (PBE) on a relaxed structure of Pm8Ho5Er.

Lattice parameters (Å, degrees): 8.5386 8.5251 8.5386 111.06 106.49 110.98
Atoms (fractional coordinates):
Pm: 0.1637 0.7329 0.0753
Pm: 0.9242 0.0891 0.6583
Pm: 0.7320 0.2580 0.3365
Pm: 0.6632 0.3956 0.9218
Pm: 0.5262 0.6044 0.2676
Pm: 0.5692 0.9109 0.8351
Pm: 0.3424 0.2671 0.4308
Pm: 0.0785 0.7420 0.4740
Ho: 0.0343 0.3135 0.1311
Ho: 0.8692 0.9035 0.1830
Ho: 0.8176 0.6865 0.7209
Ho: 0.4998 0.0000 0.4998
Ho: 0.2795 0.0965 0.9657
Er: 0.2501 0.5000 0.7501

Summary:
The uncorrected energy is -4.420 eV/atom. Its volume is 34.1 A^3/atom.

(4)
VASP calculation (PBE) on a relaxed structure of YLuSe3.

Lattice parameters (Å, degrees): 13.0997 8.9533 8.9533 82.16 124.27 55.73
Atoms (fractional coordinates):
Y: 0.1226 0.4466 0.3619
Y: 0.3774 0.8619 0.9466
Y: 0.8774 0.5534 0.6381
Y: 0.6226 0.1381 0.0534
Lu: 0.7500 0.1807 0.6807
Lu: 0.2500 0.8193 0.3193
Lu: 0.7500 0.4775 0.9775
Lu: 0.2500 0.5225 0.0225
Se: 0.4011 0.3831 0.4627
Se: 0.0989 0.9627 0.8831
Se: 0.5989 0.6169 0.5373
Se: 0.9011 0.0373 0.1169
Se: 0.0868 0.2544 0.1351
Se: 0.4132 0.6351 0.7544
Se: 0.9132 0.7456 0.8649
Se: 0.5868 0.3649 0.2456
Se: 0.5222 0.9475 0.8306
Se: 0.9778 0.3306 0.4475
Se: 0.4778 0.0525 0.1694
Se: 0.0222 0.6694 0.5525

Summary:
As for the polymorph energy (0 for the lowest one): 148 meV/atom. The raw formation energy comes out at -8.66 eV/f.u. Its volume is 26.8 A^3/atom.

(5)
VASP calculation (PBE) on a relaxed structure of ErZn2Si.

Lattice parameters (Å, degrees): 4.5802 4.0900 4.2356 94.08 90.00 90.00
Atoms (fractional coordinates):
Er: 0.5000 0.5000 0.0000
Zn: 0.0000 0.1983 0.2805
Zn: 0.0000 0.8017 0.7195
Si: 0.5000 0.0000 0.5000

Summary:
The raw formation energy comes out at -0.66 eV/f.u. Its volume is 19.8 A^3/atom.